Entry from the Alexandria database: a relaxed TiMn3S crystal (PBE).

Geometry as POSCAR:
```
TiMn3S
1.0
4.064 0.000 0.000
0.000 4.064 0.000
0.000 0.000 4.064
Ti Mn S
1 3 1
Cartesian
0.000 0.000 0.000
0.000 2.032 2.032
2.032 0.000 2.032
2.032 2.032 0.000
2.032 2.032 2.032
```

Output
Spin magnetization (μB per formula unit): 0.53
Offset from the most stable computed form (meV per atom): 0
SG: No. 221
Calculated total energy (eV for the cell shown): -38.91
ΔE_f (raw) (kJ per mole of atoms): 11.9



Entry from the Alexandria database: a relaxed WAu3 crystal (PBE).

Geometry as POSCAR:
```
WAu3
1.0
2.931 0.000 0.000
-1.466 2.539 0.000
0.000 0.000 28.131
W Au
3 9
Cartesian
0.000 0.000 0.000
0.000 1.692 18.754
1.466 0.846 9.377
0.000 0.000 7.101
0.000 0.000 14.065
0.000 0.000 21.029
0.000 1.692 4.689
0.000 1.692 11.652
0.000 1.692 25.855
1.466 0.846 2.276
1.466 0.846 16.478
1.466 0.846 23.442
```

Output
Spin magnetization (μB per formula unit): 0.00
ΔE_f (eV per atom): 0.259
SG: No. 166
Calculated total energy (eV for the cell shown): -65.25



Entry from the Alexandria database: a relaxed Rb2Te3Pb2 crystal (PBE).

Geometry as POSCAR:
```
Rb2Te3Pb2
1.0
9.148 -8.945 0.000
9.148 8.945 0.000
-4.810 0.000 8.065
Rb Te Pb
8 12 8
Cartesian
5.540 7.761 6.048
7.945 4.990 2.016
2.654 1.470 7.366
5.059 -1.470 3.334
8.426 1.470 4.731
10.831 -1.470 0.699
5.540 -4.990 6.048
7.945 -7.761 2.016
-0.686 1.342 5.811
2.986 4.945 6.245
1.719 -1.342 1.779
5.573 2.004 2.406
8.094 4.945 5.852
3.167 -2.004 6.438
10.318 2.004 1.626
5.392 -4.945 2.213
7.913 -2.004 5.659
11.766 1.342 6.286
10.499 -4.945 1.819
14.171 -1.342 2.254
4.014 4.626 3.244
3.072 1.447 0.820
0.667 -1.447 4.852
11.877 4.626 0.789
1.608 -4.626 7.276
12.819 1.447 3.212
10.413 -1.447 7.245
9.472 -4.626 4.821
```

Output
Spin magnetization (μB per formula unit): 0.00
Offset from the most stable computed form (meV per atom): 0
SG: No. 15
Calculated total energy (eV for the cell shown): -93.46
ΔE_f (raw) (kJ per mole of atoms): -63.2



Entry from the Alexandria database: a relaxed CrTePt2 crystal (PBE).

Geometry as POSCAR:
```
CrTePt2
1.0
6.193 0.000 0.000
0.000 6.193 0.000
0.000 0.000 9.524
Cr Te Pt
4 4 8
Cartesian
0.000 0.000 0.000
0.000 3.096 2.381
3.096 0.000 7.143
3.096 3.096 4.762
0.000 0.000 4.762
0.000 3.096 7.143
3.096 0.000 2.381
3.096 3.096 0.000
1.288 1.548 1.191
1.548 4.385 3.572
1.548 4.904 8.334
1.808 1.548 5.953
4.385 4.645 5.953
4.645 1.288 8.334
4.645 1.808 3.572
4.904 4.645 1.191
```

Output
Spin magnetization (μB per formula unit): 0.00
SG: No. 122
Calculated total energy (eV for the cell shown): -92.36
ΔE_f (raw) (kJ per mole of atoms): 42.4



Entry from the Alexandria database: a relaxed KNaRuC2 crystal (PBE).

Geometry as POSCAR:
```
KNaRuC2
1.0
4.459 0.000 0.000
0.000 4.459 0.000
0.000 0.000 4.542
K Na Ru C
1 1 1 2
Cartesian
0.000 0.000 0.000
0.000 0.000 2.271
2.229 2.229 0.000
0.000 2.229 2.271
2.229 0.000 2.271
```

Output
Spin magnetization (μB per formula unit): 2.15
ΔE_f (eV per atom): 3.082
SG: No. 123
Calculated total energy (eV for the cell shown): -14.73



no.,volume (Å³/atom)
1,13.43
2,17.44
3,47.14
4,22.83
5,18.06